# 1
# Be2Cu

Crystalline Be2Cu at its relaxed geometry (PBE, Alexandria via LeMat-Bulk).

a b c (Å): 4.528 3.701 6.643
angles (deg): 90.00 90.00 90.00
Fractional coordinates of all 12 atoms:
Be1 0.028 0.250 0.243
Be2 0.190 0.250 0.913
Be3 0.310 0.750 0.413
Be4 0.472 0.750 0.743
Be5 0.528 0.250 0.257
Be6 0.690 0.250 0.587
Be7 0.810 0.750 0.087
Be8 0.972 0.750 0.757
Cu1 0.195 0.250 0.578
Cu2 0.305 0.750 0.078
Cu3 0.695 0.250 0.922
Cu4 0.805 0.750 0.422

Output
Excess energy over the best structure of this formula in the dataset, meV/atom: 107.6
Total magnetization, μB/cell: 0.0
ΔE_f, eV/atom: -0.0392
Symmetry: Pnma
D(E_F), states/eV/cell: 1.98



# 2
# Be5Cu7

Crystalline Be5Cu7 at its relaxed geometry (PBE, Alexandria via LeMat-Bulk).

a b c (Å): 5.868 5.868 5.868
angles (deg): 100.02 100.02 130.69
Fractional coordinates of all 12 atoms:
Be1 0.000 0.000 0.000
Be2 0.363 0.363 0.392
Be3 0.363 0.971 0.000
Be4 0.971 0.363 0.000
Be5 0.971 0.971 0.608
Cu1 0.415 0.415 0.000
Cu2 0.496 0.996 0.500
Cu3 0.520 0.754 0.766
Cu4 0.754 0.520 0.766
Cu5 0.754 0.989 0.234
Cu6 0.989 0.754 0.234
Cu7 0.996 0.496 0.500

Output
Total magnetization, μB/cell: 0.0
ΔE_f, eV/atom: 0.2771
Symmetry: I4mm
D(E_F), states/eV/cell: 3.70



# 3
# Be4Cu3

Crystalline Be4Cu3 at its relaxed geometry (PBE, Alexandria via LeMat-Bulk).

a b c (Å): 4.589 4.589 4.105
angles (deg): 90.00 90.00 120.00
Fractional coordinates of all 7 atoms:
Be1 0.000 0.000 0.247
Be2 0.000 0.000 0.753
Be3 0.333 0.667 0.500
Be4 0.667 0.333 0.500
Cu1 0.000 0.500 0.000
Cu2 0.500 0.000 0.000
Cu3 0.500 0.500 0.000

Output
Excess energy over the best structure of this formula in the dataset, meV/atom: 275.5
Total magnetization, μB/cell: 0.0
ΔE_f, eV/atom: 0.2138
Symmetry: P6/mmm
D(E_F), states/eV/cell: 1.05



# 4
# Be2Cu

Crystalline Be2Cu at its relaxed geometry (PBE, Alexandria via LeMat-Bulk).

a b c (Å): 2.420 2.420 5.677
angles (deg): 90.00 90.00 120.00
Fractional coordinates of all 3 atoms:
Be1 0.333 0.667 0.159
Be2 0.667 0.333 0.841
Cu1 0.000 0.000 0.500

Output
Excess energy over the best structure of this formula in the dataset, meV/atom: 216.7
Total magnetization, μB/cell: 0.0
ΔE_f, eV/atom: 0.0700
Symmetry: P-3m1
D(E_F), states/eV/cell: 0.97



# 5
# BeCu

Crystalline BeCu at its relaxed geometry (PBE, Alexandria via LeMat-Bulk).

a b c (Å): 8.278 2.667 3.815
angles (deg): 90.00 110.60 90.00
Fractional coordinates of all 8 atoms:
Be1 0.133 0.000 0.352
Be2 0.367 0.500 0.648
Be3 0.633 0.500 0.352
Be4 0.867 0.000 0.648
Cu1 0.114 0.500 0.837
Cu2 0.386 0.000 0.163
Cu3 0.614 0.000 0.837
Cu4 0.886 0.500 0.163

Output
Total magnetization, μB/cell: 0.0
ΔE_f, eV/atom: -0.0663
Symmetry: C2/m
D(E_F), states/eV/cell: 1.83



# 6
# Be2Cu

Crystalline Be2Cu at its relaxed geometry (PBE, Alexandria via LeMat-Bulk).

a b c (Å): 5.293 5.293 3.705
angles (deg): 90.00 90.00 120.00
Fractional coordinates of all 9 atoms:
Be1 0.000 0.226 0.000
Be2 0.000 0.521 0.500
Be3 0.226 0.000 0.000
Be4 0.479 0.479 0.500
Be5 0.521 0.000 0.500
Be6 0.774 0.774 0.000
Cu1 0.000 0.000 0.500
Cu2 0.333 0.667 0.000
Cu3 0.667 0.333 0.000

Output
Excess energy over the best structure of this formula in the dataset, meV/atom: 328.1
Total magnetization, μB/cell: 0.0
ΔE_f, eV/atom: 0.1813
Symmetry: P-62m
D(E_F), states/eV/cell: 2.44



# 7
# Be3Cu

Crystalline Be3Cu at its relaxed geometry (PBE, Alexandria via LeMat-Bulk).

a b c (Å): 7.296 7.296 7.296
angles (deg): 33.47 33.47 33.47
Fractional coordinates of all 12 atoms:
Be1 0.000 0.000 0.000
Be2 0.187 0.187 0.187
Be3 0.250 0.250 0.751
Be4 0.250 0.750 0.750
Be5 0.250 0.751 0.250
Be6 0.500 0.500 0.500
Be7 0.750 0.250 0.750
Be8 0.750 0.750 0.250
Be9 0.751 0.250 0.250
Cu1 0.310 0.310 0.310
Cu2 0.688 0.688 0.688
Cu3 0.815 0.815 0.815

Output
Total magnetization, μB/cell: 0.0
ΔE_f, eV/atom: -0.1176
Symmetry: R3m
D(E_F), states/eV/cell: 1.47



# 8
# Be6Cu

Crystalline Be6Cu at its relaxed geometry (PBE, Alexandria via LeMat-Bulk).

a b c (Å): 6.742 4.086 9.005
angles (deg): 90.00 90.00 90.00
Fractional coordinates of all 28 atoms:
Be1 0.037 0.250 0.092
Be2 0.056 0.504 0.307
Be3 0.056 0.996 0.307
Be4 0.098 0.750 0.512
Be5 0.153 0.250 0.855
Be6 0.195 0.750 0.735
Be7 0.305 0.250 0.235
Be8 0.347 0.750 0.355
Be9 0.402 0.250 0.012
Be10 0.444 0.004 0.807
Be11 0.444 0.496 0.807
Be12 0.463 0.750 0.592
Be13 0.537 0.250 0.408
Be14 0.556 0.504 0.193
Be15 0.556 0.996 0.193
Be16 0.598 0.750 0.988
Be17 0.653 0.250 0.645
Be18 0.695 0.750 0.765
Be19 0.805 0.250 0.265
Be20 0.847 0.750 0.145
Be21 0.902 0.250 0.488
Be22 0.944 0.004 0.693
Be23 0.944 0.496 0.693
Be24 0.963 0.750 0.908
Cu1 0.244 0.750 0.096
Cu2 0.256 0.250 0.596
Cu3 0.744 0.750 0.404
Cu4 0.756 0.250 0.904

Output
Excess energy over the best structure of this formula in the dataset, meV/atom: 0.0
Total magnetization, μB/cell: 0.0
ΔE_f, eV/atom: 0.0688
Symmetry: Pnma
D(E_F), states/eV/cell: 6.93



# 9
# Be6Cu

Crystalline Be6Cu at its relaxed geometry (PBE, Alexandria via LeMat-Bulk).

a b c (Å): 5.653 5.653 5.653
angles (deg): 90.00 90.00 90.00
Fractional coordinates of all 14 atoms:
Be1 0.000 0.250 0.500
Be2 0.000 0.500 0.250
Be3 0.000 0.500 0.750
Be4 0.000 0.750 0.500
Be5 0.250 0.000 0.500
Be6 0.250 0.500 0.000
Be7 0.500 0.000 0.250
Be8 0.500 0.000 0.750
Be9 0.500 0.250 0.000
Be10 0.500 0.750 0.000
Be11 0.750 0.000 0.500
Be12 0.750 0.500 0.000
Cu1 0.000 0.000 0.000
Cu2 0.500 0.500 0.500

Output
Excess energy over the best structure of this formula in the dataset, meV/atom: 1280.3
Total magnetization, μB/cell: 0.0
ΔE_f, eV/atom: 1.3491
Symmetry: Im-3m
D(E_F), states/eV/cell: 4.94



# 10
# Be2Cu

Crystalline Be2Cu at its relaxed geometry (PBE, Alexandria via LeMat-Bulk).

a b c (Å): 8.211 2.543 5.624
angles (deg): 90.00 110.20 90.00
Fractional coordinates of all 12 atoms:
Be1 0.027 0.000 0.254
Be2 0.153 0.500 0.045
Be3 0.347 0.000 0.955
Be4 0.473 0.500 0.746
Be5 0.527 0.500 0.254
Be6 0.653 0.000 0.045
Be7 0.847 0.500 0.955
Be8 0.973 0.000 0.746
Cu1 0.166 0.500 0.624
Cu2 0.334 0.000 0.376
Cu3 0.666 0.000 0.624
Cu4 0.834 0.500 0.376

Output
Excess energy over the best structure of this formula in the dataset, meV/atom: 93.4
Total magnetization, μB/cell: 0.0
ΔE_f, eV/atom: -0.0534
Symmetry: C2/m
D(E_F), states/eV/cell: 1.33



# 11
# Be2Cu3

Crystalline Be2Cu3 at its relaxed geometry (PBE, Alexandria via LeMat-Bulk).

a b c (Å): 2.504 2.504 29.163
angles (deg): 90.00 90.00 120.00
Fractional coordinates of all 15 atoms:
Be1 0.000 0.000 0.101
Be2 0.000 0.000 0.899
Be3 0.333 0.667 0.565
Be4 0.333 0.667 0.768
Be5 0.667 0.333 0.232
Be6 0.667 0.333 0.435
Cu1 0.000 0.000 0.296
Cu2 0.000 0.000 0.500
Cu3 0.000 0.000 0.704
Cu4 0.333 0.667 0.167
Cu5 0.333 0.667 0.371
Cu6 0.333 0.667 0.963
Cu7 0.667 0.333 0.037
Cu8 0.667 0.333 0.629
Cu9 0.667 0.333 0.833

Output
Excess energy over the best structure of this formula in the dataset, meV/atom: 114.8
Total magnetization, μB/cell: 0.0
ΔE_f, eV/atom: 0.0275
Symmetry: R-3m
D(E_F), states/eV/cell: 5.35



# 12
# Be4Cu5

Crystalline Be4Cu5 at its relaxed geometry (PBE, Alexandria via LeMat-Bulk).

a b c (Å): 6.662 6.662 4.750
angles (deg): 90.00 90.00 120.00
Fractional coordinates of all 18 atoms:
Be1 0.000 0.000 0.000
Be2 0.000 0.000 0.500
Be3 0.000 0.369 0.250
Be4 0.000 0.631 0.750
Be5 0.369 0.000 0.250
Be6 0.369 0.369 0.750
Be7 0.631 0.000 0.750
Be8 0.631 0.631 0.250
Cu1 0.000 0.295 0.750
Cu2 0.000 0.705 0.250
Cu3 0.295 0.000 0.750
Cu4 0.295 0.295 0.250
Cu5 0.333 0.667 0.000
Cu6 0.333 0.667 0.500
Cu7 0.667 0.333 0.000
Cu8 0.667 0.333 0.500
Cu9 0.705 0.000 0.250
Cu10 0.705 0.705 0.750

Output
Excess energy over the best structure of this formula in the dataset, meV/atom: 0.0
Total magnetization, μB/cell: 0.0
ΔE_f, eV/atom: -0.0546
Symmetry: P6_3/mcm
D(E_F), states/eV/cell: 4.51



# 13
# Be6Cu7

Crystalline Be6Cu7 at its relaxed geometry (PBE, Alexandria via LeMat-Bulk).

a b c (Å): 8.002 8.002 8.002
angles (deg): 34.48 34.48 34.48
Fractional coordinates of all 13 atoms:
Be1 0.054 0.054 0.054
Be2 0.156 0.156 0.156
Be3 0.334 0.334 0.334
Be4 0.666 0.666 0.666
Be5 0.844 0.844 0.844
Be6 0.946 0.946 0.946
Cu1 0.077 0.584 0.584
Cu2 0.416 0.416 0.923
Cu3 0.416 0.923 0.416
Cu4 0.500 0.500 0.500
Cu5 0.584 0.077 0.584
Cu6 0.584 0.584 0.077
Cu7 0.923 0.416 0.416

Output
Total magnetization, μB/cell: 0.0
ΔE_f, eV/atom: 0.2333
Symmetry: R-3m
D(E_F), states/eV/cell: 5.61



# 14
# DyBe2Cu10

Crystalline DyBe2Cu10 at its relaxed geometry (PBE, Alexandria via LeMat-Bulk).

a b c (Å): 8.347 6.440 6.270
angles (deg): 82.09 49.84 48.08
Fractional coordinates of all 13 atoms:
Dy1 0.000 0.000 0.000
Be1 0.000 0.500 0.000
Be2 0.500 0.000 0.500
Cu1 0.000 0.000 0.500
Cu2 0.008 0.351 0.649
Cu3 0.274 0.490 0.510
Cu4 0.351 0.008 0.992
Cu5 0.490 0.274 0.726
Cu6 0.500 0.500 0.000
Cu7 0.510 0.726 0.274
Cu8 0.649 0.992 0.008
Cu9 0.726 0.510 0.490
Cu10 0.992 0.649 0.351

Output
Total magnetization, μB/cell: 0.0
ΔE_f, eV/atom: -0.1171
Symmetry: Fmmm
D(E_F), states/eV/cell: 3.61



# 15
# DyBe4Cu8

Crystalline DyBe4Cu8 at its relaxed geometry (PBE, Alexandria via LeMat-Bulk).

a b c (Å): 6.236 6.236 6.236
angles (deg): 97.79 97.79 136.80
Fractional coordinates of all 13 atoms:
Dy1 0.000 0.000 0.000
Be1 0.000 0.000 0.500
Be2 0.000 0.500 0.000
Be3 0.500 0.000 0.000
Be4 0.500 0.500 0.500
Cu1 0.000 0.350 0.350
Cu2 0.000 0.650 0.650
Cu3 0.277 0.500 0.777
Cu4 0.350 0.000 0.350
Cu5 0.500 0.277 0.777
Cu6 0.500 0.723 0.223
Cu7 0.650 0.000 0.650
Cu8 0.723 0.500 0.223

Output
Total magnetization, μB/cell: 0.0
ΔE_f, eV/atom: -0.1483
Symmetry: I4/mmm
D(E_F), states/eV/cell: 4.87



# 16
# DyBe6Cu6

Crystalline DyBe6Cu6 at its relaxed geometry (PBE, Alexandria via LeMat-Bulk).

a b c (Å): 6.150 6.150 6.150
angles (deg): 137.63 97.72 97.29
Fractional coordinates of all 13 atoms:
Dy1 0.000 0.000 0.000
Be1 0.000 0.000 0.500
Be2 0.000 0.500 0.000
Be3 0.240 0.500 0.740
Be4 0.500 0.000 0.000
Be5 0.500 0.500 0.500
Be6 0.760 0.500 0.260
Cu1 0.208 0.708 0.500
Cu2 0.349 0.000 0.349
Cu3 0.352 0.352 0.000
Cu4 0.648 0.648 0.000
Cu5 0.651 0.000 0.651
Cu6 0.792 0.292 0.500

Output
Total magnetization, μB/cell: 0.0
ΔE_f, eV/atom: -0.1371
Symmetry: Immm
D(E_F), states/eV/cell: 3.66



# 17
# DyBe2Cu4

Crystalline DyBe2Cu4 at its relaxed geometry (PBE, Alexandria via LeMat-Bulk).

a b c (Å): 7.839 6.168 4.783
angles (deg): 90.00 126.85 90.00
Fractional coordinates of all 14 atoms:
Dy1 0.000 0.000 0.000
Dy2 0.500 0.500 0.000
Be1 0.000 0.500 0.249
Be2 0.000 0.500 0.751
Be3 0.500 0.000 0.249
Be4 0.500 0.000 0.751
Cu1 0.194 0.196 0.694
Cu2 0.194 0.804 0.694
Cu3 0.306 0.304 0.306
Cu4 0.306 0.696 0.306
Cu5 0.694 0.304 0.694
Cu6 0.694 0.696 0.694
Cu7 0.806 0.196 0.306
Cu8 0.806 0.804 0.306

Output
Total magnetization, μB/cell: 0.0
ΔE_f, eV/atom: -0.1119
Symmetry: C2/m
D(E_F), states/eV/cell: 5.91



# 18
# DyBe2Cu9

Crystalline DyBe2Cu9 at its relaxed geometry (PBE, Alexandria via LeMat-Bulk).

a b c (Å): 7.650 7.650 7.650
angles (deg): 99.80 99.80 131.28
Fractional coordinates of all 24 atoms:
Dy1 0.375 0.625 0.750
Dy2 0.625 0.375 0.250
Be1 0.000 0.000 0.000
Be2 0.000 0.000 0.500
Be3 0.000 0.500 0.000
Be4 0.500 0.000 0.500
Cu1 0.125 0.875 0.250
Cu2 0.142 0.568 0.330
Cu3 0.142 0.812 0.575
Cu4 0.188 0.262 0.330
Cu5 0.188 0.858 0.925
Cu6 0.262 0.188 0.830
Cu7 0.262 0.432 0.075
Cu8 0.432 0.262 0.575
Cu9 0.432 0.858 0.170
Cu10 0.568 0.142 0.830
Cu11 0.568 0.738 0.425
Cu12 0.738 0.568 0.925
Cu13 0.738 0.812 0.170
Cu14 0.812 0.142 0.075
Cu15 0.812 0.738 0.670
Cu16 0.858 0.188 0.425
Cu17 0.858 0.432 0.670
Cu18 0.875 0.125 0.750

Output
Total magnetization, μB/cell: 0.0
ΔE_f, eV/atom: -0.1196
Symmetry: I4_1/amd
D(E_F), states/eV/cell: 9.02



# 19
# DyBe6Cu12

Crystalline DyBe6Cu12 at its relaxed geometry (PBE, Alexandria via LeMat-Bulk).

a b c (Å): 6.342 6.342 6.342
angles (deg): 104.09 104.09 104.09
Fractional coordinates of all 19 atoms:
Dy1 0.000 0.000 0.000
Be1 0.243 0.243 0.698
Be2 0.243 0.698 0.243
Be3 0.302 0.757 0.757
Be4 0.698 0.243 0.243
Be5 0.757 0.302 0.757
Be6 0.757 0.757 0.302
Cu1 0.123 0.500 0.877
Cu2 0.123 0.877 0.500
Cu3 0.173 0.440 0.440
Cu4 0.440 0.173 0.440
Cu5 0.440 0.440 0.173
Cu6 0.500 0.123 0.877
Cu7 0.500 0.877 0.123
Cu8 0.560 0.560 0.827
Cu9 0.560 0.827 0.560
Cu10 0.827 0.560 0.560
Cu11 0.877 0.123 0.500
Cu12 0.877 0.500 0.123

Output
Total magnetization, μB/cell: 0.0
ΔE_f, eV/atom: 0.0076
Symmetry: R-3m
D(E_F), states/eV/cell: 8.26



# 20
# DyErBeCu

Crystalline DyErBeCu at its relaxed geometry (PBE, Alexandria via LeMat-Bulk).

a b c (Å): 6.852 6.852 6.852
angles (deg): 90.00 90.00 90.00
Fractional coordinates of all 16 atoms:
Dy1 0.000 0.000 0.000
Dy2 0.000 0.500 0.500
Dy3 0.500 0.000 0.500
Dy4 0.500 0.500 0.000
Er1 0.000 0.000 0.500
Er2 0.000 0.500 0.000
Er3 0.500 0.000 0.000
Er4 0.500 0.500 0.500
Be1 0.250 0.250 0.250
Be2 0.250 0.750 0.750
Be3 0.750 0.250 0.750
Be4 0.750 0.750 0.250
Cu1 0.250 0.250 0.750
Cu2 0.250 0.750 0.250
Cu3 0.750 0.250 0.250
Cu4 0.750 0.750 0.750

Output
Total magnetization, μB/cell: 0.0
ΔE_f, eV/atom: -0.0764
Symmetry: F-43m
D(E_F), states/eV/cell: 8.40